Record 1
Compound: Mg5Fe
Source: Alexandria
Functional: GGA-PBE
Structure: relaxed

The space group is P4/mmm (No. 123) and the conventional cell measures 3.285, 3.285 and 11.101 Å, with angles of 90.00, 90.00 and 90.00 degrees. Symmetry generates all atoms from Mg at (0.000, 0.000, 0.000), Mg at (0.000, 0.000, 0.369), Mg at (0.500, 0.500, 0.187) and Fe at (0.500, 0.500, 0.500).

The calculation puts the electronic total energy at -15.65 eV per cell. The formation energy comes out at 0.131 eV per atom.

=====

Record 2
Compound: Mg3Fe
Source: Alexandria
Functional: GGA-PBE
Structure: relaxed

The space group is Pmm2 (No. 25) and the conventional cell measures 2.956, 4.786 and 5.226 Å, with angles of 90.00, 90.00 and 90.00 degrees. Symmetry generates all atoms from Mg at (0.000, 0.000, 0.000), Mg at (0.000, 0.500, 0.337), Mg at (0.500, 0.000, 0.532) and Fe at (0.500, 0.500, 0.837).

The calculation puts the electronic total energy at -12.28 eV per cell. The formation energy comes out at 0.241 eV per atom.

=====

Record 3
Compound: Mg3Fe
Source: Alexandria
Functional: GGA-PBE
Structure: relaxed

The space group is P2/m (No. 10) and the conventional cell measures 2.898, 4.651 and 5.544 Å, with angles of 90.00, 100.29 and 90.00 degrees. Symmetry generates all atoms from Mg at (0.000, 0.000, 0.000), Mg at (0.279, 0.500, 0.731) and Fe at (0.500, 0.000, 0.500).

The calculation puts the electronic total energy at -12.30 eV per cell. The formation energy comes out at 0.238 eV per atom.

=====

Record 4
Compound: Mg4Fe5
Source: Alexandria
Functional: GGA-PBE
Structure: relaxed

The space group is P6_3/mcm (No. 193) and the conventional cell measures 7.6685, 7.6685 and 5.2729 Å, with angles of 90.00, 90.00 and 120.00 degrees. Symmetry generates all atoms from Mg at (0.0000, 0.0000, 0.0000), Mg at (0.0000, 0.3333, 0.2500), Fe at (0.0000, 0.3497, 0.7500) and Fe at (0.3333, 0.6667, 0.0000).

The calculation puts the electronic total energy at -90.85 eV per cell. The formation energy comes out at 0.363 eV per atom.

=====

Record 5
Compound: MgFe2
Source: Alexandria
Functional: GGA-PBE
Structure: relaxed

The space group is Pa-3 (No. 205) and the conventional cell measures 5.878, 5.878 and 5.878 Å, with angles of 90.00, 90.00 and 90.00 degrees. Symmetry generates all atoms from Mg at (0.000, 0.000, 0.000) and Fe at (0.112, 0.612, 0.888).

The calculation puts the electronic total energy at -59.63 eV per cell. The formation energy comes out at 1.204 eV per atom.

=====

Record 6
Compound: MgFe3
Source: Alexandria
Functional: GGA-PBE
Structure: relaxed

The space group is R-3m (No. 166, hexagonal axes) and the conventional cell measures 2.7156, 2.7156 and 25.1523 Å, with angles of 90.00, 90.00 and 120.00 degrees. Symmetry generates all atoms from Mg at (0.0000, 0.0000, 0.0000), Fe at (0.0000, 0.0000, 0.2427) and Fe at (0.0000, 0.0000, 0.5000).

The calculation puts the electronic total energy at -77.58 eV per cell. The formation energy comes out at 0.281 eV per atom.

=====

Record 7
Compound: Mg2Fe
Source: Alexandria
Functional: GGA-PBE
Structure: relaxed

The space group is Fd-3m (No. 227, origin choice 2) and the conventional cell measures 7.648, 7.648 and 7.648 Å, with angles of 90.00, 90.00 and 90.00 degrees. Symmetry generates all atoms from Mg at (0.000, 0.000, 0.000) and Fe at (0.125, 0.125, 0.625).

The calculation puts the electronic total energy at -78.21 eV per cell. The formation energy comes out at 0.625 eV per atom.

=====

Record 8
Compound: Mg4Fe3
Source: Alexandria
Functional: GGA-PBE
Structure: relaxed

The space group is P6/mmm (No. 191) and the conventional cell measures 5.0077, 5.0077 and 5.2956 Å, with angles of 90.00, 90.00 and 120.00 degrees. Symmetry generates all atoms from Mg at (0.0000, 0.0000, 0.2434), Mg at (0.3333, 0.6667, 0.5000) and Fe at (0.0000, 0.5000, 0.0000).

The calculation puts the electronic total energy at -30.60 eV per cell. The formation energy comes out at 0.166 eV per atom.

=====

Record 9
Compound: MgFe2
Source: Alexandria
Functional: GGA-PBE
Structure: relaxed

The space group is Imma (No. 74) and the conventional cell measures 2.651, 4.380 and 15.094 Å, with angles of 90.00, 90.00 and 90.00 degrees. Symmetry generates all atoms from Mg at (0.000, 0.250, 0.131), Fe at (0.000, 0.250, 0.537) and Fe at (0.000, 0.250, 0.690).

The calculation puts the electronic total energy at -69.52 eV per cell. The formation energy comes out at 0.380 eV per atom.

=====

Record 10
Compound: MgFe2
Source: Alexandria
Functional: GGA-PBE
Structure: relaxed

The space group is I4/mcm (No. 140) and the conventional cell measures 5.875, 5.875 and 5.083 Å, with angles of 90.00, 90.00 and 90.00 degrees. Symmetry generates all atoms from Mg at (0.000, 0.000, 0.250) and Fe at (0.135, 0.365, 0.000).

The calculation puts the electronic total energy at -66.11 eV per cell. The formation energy comes out at 0.664 eV per atom.

=====

Record 11
Compound: MgFe3
Source: Alexandria
Functional: GGA-PBE
Structure: relaxed

The space group is P-6m2 (No. 187) and the conventional cell measures 2.6437, 2.6437 and 8.8390 Å, with angles of 90.00, 90.00 and 120.00 degrees. Symmetry generates all atoms from Mg at (0.0000, 0.0000, 0.0000), Fe at (0.0000, 0.0000, 0.5000) and Fe at (0.3333, 0.6667, 0.2592).

The calculation puts the electronic total energy at -25.69 eV per cell. The formation energy comes out at 0.323 eV per atom.

=====

Record 12
Compound: Mg3Fe5
Source: Alexandria
Functional: GGA-PBE
Structure: relaxed

The space group is P-1 (No. 2) and the conventional cell measures 5.175, 6.702 and 7.359 Å, with angles of 77.39, 73.97 and 68.01 degrees. Symmetry generates all atoms from Mg at (0.081, 0.484, 0.166), Mg at (0.177, 0.787, 0.582), Mg at (0.211, 0.075, 0.036), Fe at (0.070, 0.164, 0.696), Fe at (0.274, 0.407, 0.473), Fe at (0.378, 0.696, 0.900), Fe at (0.436, 0.050, 0.344) and Fe at (0.491, 0.656, 0.225).

The calculation puts the electronic total energy at -90.84 eV per cell. The formation energy comes out at 0.209 eV per atom.

=====

| no. | Fermi-level density of states (states/eV/f.u.) |
| --- | --- |
| 1 | 4.02 |
| 2 | 3.44 |
| 3 | 3.47 |
| 4 | 8.01 |
| 5 | 2.37 |
| 6 | 4.59 |
| 7 | 2.14 |
| 8 | 5.20 |
| 9 | 2.71 |
| 10 | 2.94 |
| 11 | 4.89 |
| 12 | 5.33 |